# 1
Compound: Tm2In5Cu
Source: Alexandria via LeMat-Bulk
Functional: PBE
Structure: relaxed

Cell: 7.9333 13.2891 3.6538 Å, 90.00 90.00 90.00°
Last column: nearest neighbours and their distance in Å.
Fractional coordinates of all 16 atoms:
Tm1 0.2313 0.1232 0.0000  2 Cu 3.06, 8 In 3.14-3.42
Tm2 0.2687 0.6232 0.0000  2 Cu 3.06, 8 In 3.14-3.42
Tm3 0.7313 0.3768 0.0000  2 Cu 3.06, 8 In 3.14-3.42
Tm4 0.7687 0.8768 0.0000  2 Cu 3.06, 8 In 3.14-3.42
In1 0.0000 0.5000 0.5000  6 In 3.13-3.37, 4 Tm 3.25
In2 0.0128 0.2643 0.5000  5 In 3.13-3.33, 4 Tm 3.14-3.25
In3 0.1996 0.8844 0.0000  2 Cu 2.86, 2 In 3.17, 1 Tm 3.18
In4 0.3004 0.3844 0.0000  2 Cu 2.86, 2 In 3.17, 1 Tm 3.18
In5 0.4872 0.7643 0.5000  5 In 3.13-3.33, 4 Tm 3.14-3.25
In6 0.5000 0.0000 0.5000  6 In 3.13-3.37, 4 Tm 3.25
In7 0.5128 0.2357 0.5000  5 In 3.13-3.33, 4 Tm 3.14-3.25
In8 0.6996 0.6156 0.0000  2 Cu 2.86, 2 In 3.17, 1 Tm 3.18
In9 0.8004 0.1156 0.0000  2 Cu 2.86, 2 In 3.17, 1 Tm 3.18
In10 0.9872 0.7357 0.5000  5 In 3.13-3.33, 4 Tm 3.14-3.25
Cu1 0.0000 0.0000 0.5000  4 In 2.86, 4 Tm 3.06
Cu2 0.5000 0.5000 0.5000  4 In 2.86, 4 Tm 3.06

Energy of formation in meV per atom: -227
Volume in Å³/cell: 385.2
Crystal system: orthorhombic
N(E_F) in states/eV per atom: 0.42
Spin magnetization in Bohr magnetons per cell: 0.000


# 2
Compound: TmInCu10
Source: Alexandria via LeMat-Bulk
Functional: PBE
Structure: relaxed

Cell: 4.0946 4.9645 8.6039 Å, 90.00 90.00 90.00°
Last column: nearest neighbours and their distance in Å.
Fractional coordinates of all 12 atoms:
Tm1 0.0000 0.0000 0.0000  18 Cu 2.90-3.22
In1 0.0000 0.5000 0.5000  6 Cu 2.80-2.84
Cu1 0.0000 0.0000 0.3398  7 Cu 2.47-2.76
Cu2 0.0000 0.0000 0.6602  7 Cu 2.47-2.76
Cu3 0.0000 0.5000 0.1741  6 Cu 2.48-2.54
Cu4 0.0000 0.5000 0.8259  6 Cu 2.48-2.54
Cu5 0.5000 0.0000 0.5000  8 Cu 2.47-2.50
Cu6 0.5000 0.2463 0.2468  8 Cu 2.45-2.52
Cu7 0.5000 0.2463 0.7532  8 Cu 2.45-2.52
Cu8 0.5000 0.5000 0.0000  8 Cu 2.47-2.54
Cu9 0.5000 0.7537 0.2468  8 Cu 2.45-2.52
Cu10 0.5000 0.7537 0.7532  8 Cu 2.45-2.52

Energy of formation in meV per atom: -76
Volume in Å³/cell: 174.9
Crystal system: orthorhombic
N(E_F) in states/eV per atom: 0.30
Spin magnetization in Bohr magnetons per cell: 0.000


# 3
Compound: Tm3InCu
Source: Alexandria via LeMat-Bulk
Functional: PBE
Structure: relaxed

Cell: 6.2928 5.0345 8.0015 Å, 90.00 105.21 90.00°
Last column: nearest neighbours and their distance in Å.
Fractional coordinates of all 10 atoms:
Tm1 0.1742 0.2500 0.4920  1 Cu 2.84, 2 In 3.09
Tm2 0.2650 0.7500 0.2413  3 Cu 2.95-3.14, 2 In 3.30
Tm3 0.2789 0.2500 0.9376  3 Cu 2.82-2.92, 1 In 3.15
Tm4 0.7211 0.7500 0.0624  3 Cu 2.82-2.92, 1 In 3.15
Tm5 0.7350 0.2500 0.7587  3 Cu 2.95-3.14, 2 In 3.30
Tm6 0.8258 0.7500 0.5080  1 Cu 2.84, 2 In 3.09
In1 0.3833 0.7500 0.6937  1 Cu 2.88, 3 Tm 3.09-3.15
In2 0.6167 0.2500 0.3063  1 Cu 2.88, 3 Tm 3.09-3.15
Cu1 0.0364 0.7500 0.8683  7 Tm 2.82-3.14, 1 In 2.88
Cu2 0.9636 0.2500 0.1317  7 Tm 2.82-3.14, 1 In 2.88

Energy of formation in meV per atom: -282
Volume in Å³/cell: 244.6
Crystal system: monoclinic
N(E_F) in states/eV per atom: 0.76
Spin magnetization in Bohr magnetons per cell: 0.000
Energy above the lowest structure with this stoichiometry in meV per atom: 0


# 4
Compound: Tm12InCu6
Source: Alexandria via LeMat-Bulk
Functional: PBE
Structure: relaxed

Cell: 8.4054 8.4054 8.4054 Å, 109.47 109.47 109.47°
Last column: nearest neighbours and their distance in Å.
Fractional coordinates of all 19 atoms:
Tm1 0.1076 0.8113 0.2963  3 Cu 2.68-2.96
Tm2 0.1887 0.2963 0.4850  3 Cu 2.68-2.96
Tm3 0.1887 0.7037 0.8924  3 Cu 2.68-2.96
Tm4 0.2963 0.1076 0.8113  3 Cu 2.68-2.96
Tm5 0.2963 0.4850 0.1887  3 Cu 2.68-2.96
Tm6 0.4850 0.1887 0.2963  3 Cu 2.68-2.96
Tm7 0.5150 0.8113 0.7037  3 Cu 2.68-2.96
Tm8 0.7037 0.5150 0.8113  3 Cu 2.68-2.96
Tm9 0.7037 0.8924 0.1887  3 Cu 2.68-2.96
Tm10 0.8113 0.2963 0.1076  3 Cu 2.68-2.96
Tm11 0.8113 0.7037 0.5150  3 Cu 2.68-2.96
Tm12 0.8924 0.1887 0.7037  3 Cu 2.68-2.96
In1 0.0000 0.0000 0.0000  12 Tm 3.41
Cu1 0.1250 0.6250 0.5000  1 Cu 2.43, 2 Tm 2.68
Cu2 0.3750 0.5000 0.8750  1 Cu 2.43, 2 Tm 2.68
Cu3 0.5000 0.1250 0.6250  1 Cu 2.43, 2 Tm 2.68
Cu4 0.5000 0.8750 0.3750  1 Cu 2.43, 2 Tm 2.68
Cu5 0.6250 0.5000 0.1250  1 Cu 2.43, 2 Tm 2.68
Cu6 0.8750 0.3750 0.5000  1 Cu 2.43, 2 Tm 2.68

Energy of formation in meV per atom: -233
Volume in Å³/cell: 457.1
Crystal system: cubic
N(E_F) in states/eV per atom: 0.45
Spin magnetization in Bohr magnetons per cell: 0.000


# 5
Compound: Tm12In6Cu
Source: Alexandria via LeMat-Bulk
Functional: PBE
Structure: relaxed

Cell: 7.9960 7.9960 7.9960 Å, 89.80 89.80 89.80°
Last column: nearest neighbours and their distance in Å.
Fractional coordinates of all 19 atoms:
Tm1 0.0355 0.3026 0.9394  4 In 3.19-3.35, 4 Tm 3.34-3.39
Tm2 0.0606 0.9645 0.6974  4 In 3.19-3.35, 4 Tm 3.34-3.39
Tm3 0.1431 0.3617 0.4777  1 Cu 3.07, 4 In 3.19-3.33, 4 Tm 3.20-3.39
Tm4 0.3026 0.9394 0.0355  4 In 3.19-3.35, 4 Tm 3.34-3.39
Tm5 0.3617 0.4777 0.1431  1 Cu 3.07, 4 In 3.19-3.33, 4 Tm 3.20-3.39
Tm6 0.4777 0.1431 0.3617  1 Cu 3.07, 4 In 3.19-3.33, 4 Tm 3.20-3.39
Tm7 0.5223 0.8569 0.6383  1 Cu 3.07, 4 In 3.19-3.33, 4 Tm 3.20-3.39
Tm8 0.6383 0.5223 0.8569  1 Cu 3.07, 4 In 3.19-3.33, 4 Tm 3.20-3.39
Tm9 0.6974 0.0606 0.9645  4 In 3.19-3.35, 4 Tm 3.34-3.39
Tm10 0.8569 0.6383 0.5223  1 Cu 3.07, 4 In 3.19-3.33, 4 Tm 3.20-3.39
Tm11 0.9394 0.0355 0.3026  4 In 3.19-3.35, 4 Tm 3.34-3.39
Tm12 0.9645 0.6974 0.0606  4 In 3.19-3.35, 4 Tm 3.34-3.39
In1 0.2186 0.7610 0.3857  8 Tm 3.19-3.35, 1 Cu 3.20, 2 In 3.37
In2 0.2390 0.6143 0.7814  8 Tm 3.19-3.35, 1 Cu 3.20, 2 In 3.37
In3 0.3857 0.2186 0.7610  8 Tm 3.19-3.35, 1 Cu 3.20, 2 In 3.37
In4 0.6143 0.7814 0.2390  8 Tm 3.19-3.35, 1 Cu 3.20, 2 In 3.37
In5 0.7610 0.3857 0.2186  8 Tm 3.19-3.35, 1 Cu 3.20, 2 In 3.37
In6 0.7814 0.2390 0.6143  8 Tm 3.19-3.35, 1 Cu 3.20, 2 In 3.37
Cu1 0.5000 0.5000 0.5000  6 Tm 3.07, 6 In 3.20

Energy of formation in meV per atom: -182
Volume in Å³/cell: 511.2
Crystal system: trigonal
N(E_F) in states/eV per atom: 1.07
Spin magnetization in Bohr magnetons per cell: 0.000


# 6
Compound: Tm3InCu2
Source: Alexandria via LeMat-Bulk
Functional: PBE
Structure: relaxed

Cell: 3.4275 3.4275 11.1702 Å, 90.00 90.00 90.00°
Last column: nearest neighbours and their distance in Å.
Fractional coordinates of all 6 atoms:
Tm1 0.0000 0.0000 0.0000  8 Cu 2.98
Tm2 0.0000 0.0000 0.3061  4 Cu 2.96, 4 In 3.25
Tm3 0.0000 0.0000 0.6939  4 Cu 2.96, 4 In 3.25
In1 0.5000 0.5000 0.5000  8 Tm 3.25, 4 In 3.43
Cu1 0.5000 0.5000 0.1546  8 Tm 2.96-2.98
Cu2 0.5000 0.5000 0.8454  8 Tm 2.96-2.98

Energy of formation in meV per atom: -342
Volume in Å³/cell: 131.2
Crystal system: tetragonal
N(E_F) in states/eV per atom: 0.40
Spin magnetization in Bohr magnetons per cell: 0.000


# 7
Compound: Tm12InCu5
Source: Alexandria via LeMat-Bulk
Functional: PBE
Structure: relaxed

Cell: 8.3129 8.3129 8.3129 Å, 111.72 110.51 106.24°
Last column: nearest neighbours and their distance in Å.
Fractional coordinates of all 18 atoms:
Tm1 0.0382 0.2300 0.8082  2 Cu 2.78-2.93
Tm2 0.1808 0.2796 0.4603  4 Cu 2.94-3.12
Tm3 0.1808 0.7204 0.9012  4 Cu 2.94-3.12
Tm4 0.3215 0.0204 0.6989  3 Cu 2.72-2.91
Tm5 0.3215 0.6226 0.3011  3 Cu 2.72-2.91
Tm6 0.4218 0.2300 0.1918  2 Cu 2.78-2.93
Tm7 0.5782 0.7700 0.8082  2 Cu 2.78-2.93
Tm8 0.6785 0.3774 0.6989  3 Cu 2.72-2.91
Tm9 0.6785 0.9796 0.3011  3 Cu 2.72-2.91
Tm10 0.8192 0.2796 0.0988  4 Cu 2.94-3.12
Tm11 0.8192 0.7204 0.5397  4 Cu 2.94-3.12
Tm12 0.9618 0.7700 0.1918  2 Cu 2.78-2.93
In1 0.5000 0.5000 0.0000  8 Tm 3.25-3.33
Cu1 0.0000 0.0000 0.0000  8 Tm 2.93-3.12
Cu2 0.1218 0.6218 0.5000  1 Cu 2.43
Cu3 0.3568 0.0000 0.3568  1 Cu 2.71, 6 Tm 2.78-2.91
Cu4 0.6432 0.0000 0.6432  1 Cu 2.71, 6 Tm 2.78-2.91
Cu5 0.8782 0.3782 0.5000  1 Cu 2.43

Energy of formation in meV per atom: -224
Volume in Å³/cell: 441.1
Crystal system: orthorhombic
N(E_F) in states/eV per atom: 0.92
Spin magnetization in Bohr magnetons per cell: 0.000


# 8
Compound: YTmInCu
Source: Alexandria via LeMat-Bulk
Functional: PBE
Structure: relaxed

Cell: 5.1311 5.1311 5.1311 Å, 60.00 60.00 60.00°
Last column: nearest neighbours and their distance in Å.
Fractional coordinates of all 4 atoms:
Y1 0.0000 0.0000 0.0000  4 In 3.14, 4 Cu 3.14
Tm1 0.5000 0.5000 0.5000  4 In 3.14, 4 Cu 3.14
In1 0.2500 0.2500 0.2500  4 Tm 3.14, 4 Y 3.14
Cu1 0.7500 0.7500 0.7500  4 Tm 3.14, 4 Y 3.14

Energy of formation in meV per atom: -326
Volume in Å³/cell: 95.5
Crystal system: cubic
N(E_F) in states/eV per atom: 0.73
Spin magnetization in Bohr magnetons per cell: 0.000


# 9
Compound: Tm2Zn12InCu3
Source: Alexandria via LeMat-Bulk
Functional: PBE
Structure: relaxed

Cell: 8.0644 8.0644 8.0644 Å, 62.47 62.47 62.47°
Last column: nearest neighbours and their distance in Å.
Fractional coordinates of all 18 atoms:
Tm1 0.0870 0.0870 0.0870  9 Zn 2.97-3.09
Tm2 0.9130 0.9130 0.9130  9 Zn 2.97-3.09
Zn1 0.0157 0.6709 0.6709  1 Cu 2.43
Zn2 0.1712 0.1712 0.6456  2 Cu 2.36, 2 Zn 2.54
Zn3 0.1712 0.6456 0.1712  2 Cu 2.36, 2 Zn 2.54
Zn4 0.3291 0.3291 0.9843  1 Cu 2.43
Zn5 0.3291 0.9843 0.3291  1 Cu 2.43
Zn6 0.3544 0.8288 0.8288  2 Cu 2.36, 2 Zn 2.54
Zn7 0.6456 0.1712 0.1712  2 Cu 2.36, 2 Zn 2.54
Zn8 0.6709 0.0157 0.6709  1 Cu 2.43
Zn9 0.6709 0.6709 0.0157  1 Cu 2.43
Zn10 0.8288 0.3544 0.8288  2 Cu 2.36, 2 Zn 2.54
Zn11 0.8288 0.8288 0.3544  2 Cu 2.36, 2 Zn 2.54
Zn12 0.9843 0.3291 0.3291  1 Cu 2.43
In1 0.5000 0.5000 0.5000  6 Zn 3.29
Cu1 0.0000 0.5000 0.5000  6 Zn 2.36-2.43
Cu2 0.5000 0.0000 0.5000  6 Zn 2.36-2.43
Cu3 0.5000 0.5000 0.0000  6 Zn 2.36-2.43

Energy of formation in meV per atom: 237
Volume in Å³/cell: 391.3
Crystal system: trigonal
N(E_F) in states/eV per atom: 0.47
Spin magnetization in Bohr magnetons per cell: 0.000


# 10
Compound: Tm2Zn3InCu12
Source: Alexandria via LeMat-Bulk
Functional: PBE
Structure: relaxed

Cell: 6.5412 6.5412 6.5412 Å, 85.12 85.12 85.12°
Last column: nearest neighbours and their distance in Å.
Fractional coordinates of all 18 atoms:
Tm1 0.2046 0.2046 0.2046  9 Cu 2.74-2.90, 3 Zn 3.00
Tm2 0.7954 0.7954 0.7954  9 Cu 2.74-2.90, 3 Zn 3.00
Zn1 0.0000 0.5000 0.5000  6 Cu 2.50-2.80
Zn2 0.5000 0.0000 0.5000  6 Cu 2.50-2.80
Zn3 0.5000 0.5000 0.0000  6 Cu 2.50-2.80
In1 0.5000 0.5000 0.5000  6 Cu 2.57
Cu1 0.0849 0.0849 0.6326  4 Cu 2.40-2.58
Cu2 0.0849 0.6326 0.0849  4 Cu 2.40-2.58
Cu3 0.2076 0.7026 0.7026  5 Cu 2.40-2.69, 1 Zn 2.50, 1 In 2.57
Cu4 0.2974 0.2974 0.7924  5 Cu 2.40-2.69, 1 Zn 2.50, 1 In 2.57
Cu5 0.2974 0.7924 0.2974  5 Cu 2.40-2.69, 1 Zn 2.50, 1 In 2.57
Cu6 0.3674 0.9151 0.9151  4 Cu 2.40-2.58
Cu7 0.6326 0.0849 0.0849  4 Cu 2.40-2.58
Cu8 0.7026 0.2076 0.7026  5 Cu 2.40-2.69, 1 Zn 2.50, 1 In 2.57
Cu9 0.7026 0.7026 0.2076  5 Cu 2.40-2.69, 1 Zn 2.50, 1 In 2.57
Cu10 0.7924 0.2974 0.2974  5 Cu 2.40-2.69, 1 Zn 2.50, 1 In 2.57
Cu11 0.9151 0.3674 0.9151  4 Cu 2.40-2.58
Cu12 0.9151 0.9151 0.3674  4 Cu 2.40-2.58

Energy of formation in meV per atom: 38
Volume in Å³/cell: 277.0
Crystal system: trigonal
N(E_F) in states/eV per atom: 0.41
Spin magnetization in Bohr magnetons per cell: 0.000


# 11
Compound: UInCu
Source: Alexandria via LeMat-Bulk
Functional: PBE
Structure: relaxed

Cell: 6.7403 6.7403 6.7403 Å, 153.90 153.90 37.25°
Last column: nearest neighbours and their distance in Å.
Fractional coordinates of all 3 atoms:
U1 0.0000 0.0000 0.0000  4 Cu 2.97, 4 U 3.04
In1 0.2982 0.2982 0.0000  4 Cu 2.78, 4 In 3.04
Cu1 0.6599 0.6599 0.0000  4 In 2.78, 4 U 2.97, 4 Cu 3.04

Energy of formation in meV per atom: 147
Volume in Å³/cell: 59.2
Crystal system: tetragonal
N(E_F) in states/eV per atom: 1.50
Spin magnetization in Bohr magnetons per cell: 2.604


# 12
Compound: UInCu
Source: Alexandria via LeMat-Bulk
Functional: PBE
Structure: relaxed

Cell: 4.8871 4.8871 2.9739 Å, 90.00 90.00 120.00°
Last column: nearest neighbours and their distance in Å.
Fractional coordinates of all 3 atoms:
U1 0.0000 0.0000 0.0000  2 U 2.97, 6 In 3.19, 6 Cu 3.19
In1 0.3333 0.6667 0.5000  3 Cu 2.82, 2 In 2.97
Cu1 0.6667 0.3333 0.5000  3 In 2.82, 2 Cu 2.97

Energy of formation in meV per atom: 137
Volume in Å³/cell: 61.5
Crystal system: hexagonal
N(E_F) in states/eV per atom: 1.52
Spin magnetization in Bohr magnetons per cell: 3.110


Number 1: VASP energy -3.57 eV/atom. Number 2: VASP energy -4.09 eV/atom. Number 3: VASP energy -4.33 eV/atom. Number 4: VASP energy -4.50 eV/atom. Number 5: VASP energy -4.09 eV/atom. Number 6: VASP energy -4.40 eV/atom. Number 7: VASP energy -4.49 eV/atom. Number 8: VASP energy -4.77 eV/atom. Number 9: VASP energy -1.94 eV/atom. Number 10: VASP energy -3.55 eV/atom. Number 11: VASP energy -5.89 eV/atom. Number 12: VASP energy -5.90 eV/atom.